# AgAuCl4 | the Alexandria database | PBEsol | relaxed
# Space-group type: C2/c, No. 15
# Uncorrected formation energy (meV per atom): -339
data_AgAuCl4
_space_group_name_H-M_alt 'P 1'
_space_group_IT_number 1
_space_group_name_Hall 'P 1'
_cell_length_a 6.572
_cell_length_b 6.572
_cell_length_c 12.892
_cell_angle_alpha 116.45
_cell_angle_beta 116.45
_cell_angle_gamma 36.47
loop_
_atom_site_label
_atom_site_type_symbol
_atom_site_fract_x
_atom_site_fract_y
_atom_site_fract_z
Ag1 Ag 0.001 0.999 0.750
Ag2 Ag 0.999 0.001 0.250
Au1 Au 0.500 0.500 0.000
Au2 Au 0.500 0.500 0.500
Cl1 Cl 0.044 0.688 0.349
Cl2 Cl 0.312 0.956 0.151
Cl3 Cl 0.342 0.424 0.594
Cl4 Cl 0.424 0.342 0.094
Cl5 Cl 0.576 0.658 0.906
Cl6 Cl 0.658 0.576 0.406
Cl7 Cl 0.688 0.044 0.849
Cl8 Cl 0.956 0.312 0.651

# AsCSCl2F9 | the Alexandria database | PBEsol | relaxed
# Space-group type: P2_1/c, No. 14
# Uncorrected formation energy (meV per atom): -1584
data_AsCSCl2F9
_space_group_name_H-M_alt 'P 1'
_space_group_IT_number 1
_space_group_name_Hall 'P 1'
_cell_length_a 7.674
_cell_length_b 9.436
_cell_length_c 12.162
_cell_angle_alpha 90.00
_cell_angle_beta 100.77
_cell_angle_gamma 90.00
loop_
_atom_site_label
_atom_site_type_symbol
_atom_site_fract_x
_atom_site_fract_y
_atom_site_fract_z
As1 As 0.192 0.249 0.068
As2 As 0.192 0.251 0.568
As3 As 0.808 0.749 0.432
As4 As 0.808 0.751 0.932
C1 C 0.379 0.668 0.119
C2 C 0.379 0.832 0.619
C3 C 0.621 0.168 0.381
C4 C 0.621 0.332 0.881
S1 S 0.166 0.672 0.192
S2 S 0.166 0.828 0.692
S3 S 0.834 0.172 0.308
S4 S 0.834 0.328 0.808
Cl1 Cl 0.178 0.629 0.739
Cl2 Cl 0.178 0.871 0.239
Cl3 Cl 0.259 0.565 0.330
Cl4 Cl 0.259 0.935 0.830
Cl5 Cl 0.741 0.065 0.170
Cl6 Cl 0.741 0.435 0.670
Cl7 Cl 0.822 0.129 0.761
Cl8 Cl 0.822 0.371 0.261
F1 F 0.028 0.708 0.499
F2 F 0.028 0.792 0.999
F3 F 0.113 0.083 0.605
F4 F 0.113 0.417 0.105
F5 F 0.143 0.178 0.193
F6 F 0.143 0.322 0.693
F7 F 0.231 0.179 0.442
F8 F 0.231 0.321 0.942
F9 F 0.266 0.083 0.032
F10 F 0.266 0.417 0.532
F11 F 0.324 0.612 0.019
F12 F 0.324 0.888 0.519
F13 F 0.406 0.206 0.637
F14 F 0.406 0.294 0.137
F15 F 0.435 0.701 0.611
F16 F 0.435 0.799 0.111
F17 F 0.498 0.088 0.320
F18 F 0.498 0.412 0.820
F19 F 0.502 0.588 0.180
F20 F 0.502 0.912 0.680
F21 F 0.565 0.201 0.889
F22 F 0.565 0.299 0.389
F23 F 0.594 0.706 0.863
F24 F 0.594 0.794 0.363
F25 F 0.676 0.112 0.481
F26 F 0.676 0.388 0.981
F27 F 0.734 0.583 0.468
F28 F 0.734 0.917 0.968
F29 F 0.769 0.679 0.058
F30 F 0.769 0.821 0.558
F31 F 0.857 0.678 0.307
F32 F 0.857 0.822 0.807
F33 F 0.887 0.583 0.895
F34 F 0.887 0.917 0.395
F35 F 0.972 0.208 0.001
F36 F 0.972 0.292 0.501

# Ca2SiP | the Alexandria database | PBEsol | relaxed
# Relative energy among the computed polymorphs (meV per atom): 610.3
# Space-group type: F-43m, No. 216
# Uncorrected formation energy (meV per atom): 1
data_Ca2SiP
_space_group_name_H-M_alt 'P 1'
_space_group_IT_number 1
_space_group_name_Hall 'P 1'
_cell_length_a 4.937
_cell_length_b 4.937
_cell_length_c 4.937
_cell_angle_alpha 60.00
_cell_angle_beta 60.00
_cell_angle_gamma 60.00
loop_
_atom_site_label
_atom_site_type_symbol
_atom_site_fract_x
_atom_site_fract_y
_atom_site_fract_z
Ca1 Ca 0.000 0.000 0.000
Ca2 Ca 0.250 0.250 0.250
Si1 Si 0.500 0.500 0.500
P1 P 0.750 0.750 0.750

# Al3TlTc | the Alexandria database | PBEsol | relaxed
# Calculated formation energy (eV per formula unit): 8.664
# Space-group type: Pm-3m, No. 221
data_Al3TlTc
_space_group_name_H-M_alt 'P 1'
_space_group_IT_number 1
_space_group_name_Hall 'P 1'
_cell_length_a 5.029
_cell_length_b 5.029
_cell_length_c 5.029
_cell_angle_alpha 90.00
_cell_angle_beta 90.00
_cell_angle_gamma 90.00
loop_
_atom_site_label
_atom_site_type_symbol
_atom_site_fract_x
_atom_site_fract_y
_atom_site_fract_z
Al1 Al 0.000 0.000 0.500
Al2 Al 0.000 0.500 0.000
Al3 Al 0.500 0.000 0.000
Tl1 Tl 0.000 0.000 0.000
Tc1 Tc 0.500 0.500 0.500

# MnBiSe2 | the Alexandria database | PBEsol | relaxed
# Space-group type: R-3m, No. 166
# Uncorrected formation energy (meV per atom): -294
data_MnBiSe2
_space_group_name_H-M_alt 'P 1'
_space_group_IT_number 1
_space_group_name_Hall 'P 1'
_cell_length_a 8.857
_cell_length_b 8.857
_cell_length_c 8.857
_cell_angle_alpha 22.74
_cell_angle_beta 22.74
_cell_angle_gamma 22.74
loop_
_atom_site_label
_atom_site_type_symbol
_atom_site_fract_x
_atom_site_fract_y
_atom_site_fract_z
Mn1 Mn 0.000 0.000 0.000
Bi1 Bi 0.500 0.500 0.500
Se1 Se 0.387 0.387 0.387
Se2 Se 0.613 0.613 0.613

# Mn3Ag4O8 | the Alexandria database | PBEsol | relaxed
# Space-group type: R32, No. 155
# Uncorrected formation energy (meV per atom): -1017
data_Mn3Ag4O8
_space_group_name_H-M_alt 'P 1'
_space_group_IT_number 1
_space_group_name_Hall 'P 1'
_cell_length_a 8.826
_cell_length_b 8.826
_cell_length_c 8.826
_cell_angle_alpha 90.44
_cell_angle_beta 90.44
_cell_angle_gamma 90.44
loop_
_atom_site_label
_atom_site_type_symbol
_atom_site_fract_x
_atom_site_fract_y
_atom_site_fract_z
Mn1 Mn 0.000 0.540 0.460
Mn2 Mn 0.042 0.292 0.250
Mn3 Mn 0.205 0.795 0.500
Mn4 Mn 0.250 0.042 0.292
Mn5 Mn 0.292 0.250 0.042
Mn6 Mn 0.460 0.000 0.540
Mn7 Mn 0.500 0.205 0.795
Mn8 Mn 0.540 0.460 0.000
Mn9 Mn 0.708 0.958 0.750
Mn10 Mn 0.750 0.708 0.958
Mn11 Mn 0.795 0.500 0.205
Mn12 Mn 0.958 0.750 0.708
Ag1 Ag 0.000 0.000 0.000
Ag2 Ag 0.103 0.119 0.711
Ag3 Ag 0.119 0.711 0.103
Ag4 Ag 0.163 0.500 0.837
Ag5 Ag 0.289 0.371 0.559
Ag6 Ag 0.289 0.881 0.897
Ag7 Ag 0.371 0.559 0.289
Ag8 Ag 0.441 0.629 0.711
Ag9 Ag 0.500 0.837 0.163
Ag10 Ag 0.559 0.289 0.371
Ag11 Ag 0.629 0.711 0.441
Ag12 Ag 0.711 0.103 0.119
Ag13 Ag 0.711 0.441 0.629
Ag14 Ag 0.837 0.163 0.500
Ag15 Ag 0.881 0.897 0.289
Ag16 Ag 0.897 0.289 0.881
O1 O 0.012 0.512 0.239
O2 O 0.025 0.330 0.459
O3 O 0.042 0.083 0.278
O4 O 0.083 0.278 0.042
O5 O 0.168 0.778 0.708
O6 O 0.206 0.585 0.469
O7 O 0.222 0.832 0.292
O8 O 0.239 0.012 0.512
O9 O 0.263 0.263 0.263
O10 O 0.278 0.042 0.083
O11 O 0.292 0.222 0.832
O12 O 0.330 0.459 0.025
O13 O 0.415 0.794 0.531
O14 O 0.459 0.025 0.330
O15 O 0.469 0.206 0.585
O16 O 0.488 0.988 0.761
O17 O 0.512 0.239 0.012
O18 O 0.531 0.415 0.794
O19 O 0.541 0.670 0.975
O20 O 0.585 0.469 0.206
O21 O 0.670 0.975 0.541
O22 O 0.708 0.168 0.778
O23 O 0.722 0.917 0.958
O24 O 0.737 0.737 0.737
O25 O 0.761 0.488 0.988
O26 O 0.778 0.708 0.168
O27 O 0.794 0.531 0.415
O28 O 0.832 0.292 0.222
O29 O 0.917 0.958 0.722
O30 O 0.958 0.722 0.917
O31 O 0.975 0.541 0.670
O32 O 0.988 0.761 0.488

# Cr3Re | the Alexandria database | PBEsol | relaxed
# Calculated formation energy (eV per formula unit): 0.207
# Space-group type: P2/m, No. 10
data_Cr3Re
_space_group_name_H-M_alt 'P 1'
_space_group_IT_number 1
_space_group_name_Hall 'P 1'
_cell_length_a 2.542
_cell_length_b 4.055
_cell_length_c 4.797
_cell_angle_alpha 90.00
_cell_angle_beta 100.23
_cell_angle_gamma 90.00
loop_
_atom_site_label
_atom_site_type_symbol
_atom_site_fract_x
_atom_site_fract_y
_atom_site_fract_z
Cr1 Cr 0.000 0.000 0.000
Cr2 Cr 0.252 0.500 0.762
Cr3 Cr 0.748 0.500 0.238
Re1 Re 0.500 0.000 0.500

# YTa2Cu | the Alexandria database | PBEsol | relaxed
# Relative energy among the computed polymorphs (meV per atom): 83.1
# Calculated formation energy (eV per formula unit): 1.242
# Space-group type: F-43m, No. 216
data_YTa2Cu
_space_group_name_H-M_alt 'P 1'
_space_group_IT_number 1
_space_group_name_Hall 'P 1'
_cell_length_a 4.673
_cell_length_b 4.673
_cell_length_c 4.673
_cell_angle_alpha 60.00
_cell_angle_beta 60.00
_cell_angle_gamma 60.00
loop_
_atom_site_label
_atom_site_type_symbol
_atom_site_fract_x
_atom_site_fract_y
_atom_site_fract_z
Y1 Y 0.000 0.000 0.000
Ta1 Ta 0.250 0.250 0.250
Ta2 Ta 0.500 0.500 0.500
Cu1 Cu 0.750 0.750 0.750

# Al3TeAu | the Alexandria database | PBEsol | relaxed
# Space-group type: Pm-3m, No. 221
# Uncorrected formation energy (meV per atom): -29
data_Al3TeAu
_space_group_name_H-M_alt 'P 1'
_space_group_IT_number 1
_space_group_name_Hall 'P 1'
_cell_length_a 4.870
_cell_length_b 4.870
_cell_length_c 4.870
_cell_angle_alpha 90.00
_cell_angle_beta 90.00
_cell_angle_gamma 90.00
loop_
_atom_site_label
_atom_site_type_symbol
_atom_site_fract_x
_atom_site_fract_y
_atom_site_fract_z
Al1 Al 0.000 0.000 0.500
Al2 Al 0.000 0.500 0.000
Al3 Al 0.500 0.000 0.000
Te1 Te 0.500 0.500 0.500
Au1 Au 0.000 0.000 0.000

# K2AgOs | the Alexandria database | PBEsol | relaxed
# Calculated formation energy (eV per formula unit): 4.142
# Space-group type: P4mm, No. 99
data_K2AgOs
_space_group_name_H-M_alt 'P 1'
_space_group_IT_number 1
_space_group_name_Hall 'P 1'
_cell_length_a 3.504
_cell_length_b 3.504
_cell_length_c 9.839
_cell_angle_alpha 90.00
_cell_angle_beta 90.00
_cell_angle_gamma 90.00
loop_
_atom_site_label
_atom_site_type_symbol
_atom_site_fract_x
_atom_site_fract_y
_atom_site_fract_z
K1 K 0.000 0.000 0.000
K2 K 0.500 0.500 0.436
Ag1 Ag 0.500 0.500 0.763
Os1 Os 0.000 0.000 0.679

# MnBe2B2 | the Alexandria database | PBEsol | relaxed
# Calculated formation energy (eV per formula unit): 0.100
# Space-group type: P4/mbm, No. 127
data_MnBe2B2
_space_group_name_H-M_alt 'P 1'
_space_group_IT_number 1
_space_group_name_Hall 'P 1'
_cell_length_a 5.405
_cell_length_b 5.405
_cell_length_c 2.566
_cell_angle_alpha 90.00
_cell_angle_beta 90.00
_cell_angle_gamma 90.00
loop_
_atom_site_label
_atom_site_type_symbol
_atom_site_fract_x
_atom_site_fract_y
_atom_site_fract_z
Mn1 Mn 0.000 0.000 0.000
Mn2 Mn 0.500 0.500 0.000
Be1 Be 0.183 0.317 0.500
Be2 Be 0.317 0.817 0.500
Be3 Be 0.683 0.183 0.500
Be4 Be 0.817 0.683 0.500
B1 B 0.112 0.612 0.000
B2 B 0.388 0.112 0.000
B3 B 0.612 0.888 0.000
B4 B 0.888 0.388 0.000

# MgAsPb2 | the Alexandria database | PBEsol | relaxed
# Relative energy among the computed polymorphs (meV per atom): 0.0
# Calculated formation energy (eV per formula unit): -0.393
# Space-group type: Pm, No. 6
data_MgAsPb2
_space_group_name_H-M_alt 'P 1'
_space_group_IT_number 1
_space_group_name_Hall 'P 1'
_cell_length_a 3.271
_cell_length_b 3.841
_cell_length_c 8.273
_cell_angle_alpha 90.00
_cell_angle_beta 101.07
_cell_angle_gamma 90.00
loop_
_atom_site_label
_atom_site_type_symbol
_atom_site_fract_x
_atom_site_fract_y
_atom_site_fract_z
Mg1 Mg 0.000 0.000 0.000
As1 As 0.435 0.500 0.866
Pb1 Pb 0.294 0.000 0.583
Pb2 Pb 0.635 0.500 0.272

no.,final energy (eV per atom),total magnetization (μB/atom)
1,-2.88,0.000
2,-4.48,0.000
3,-3.95,0.000
4,-3.50,0.675
5,-5.73,0.698
6,-6.65,0.600
7,-10.96,0.000
8,-8.75,0.000
9,-3.97,0.000
10,-3.41,0.000
11,-6.34,0.281
12,-3.80,0.000